This record from the Alexandria database describes an optimized crystal structure of Li3Ca. The functional is PBE.

Results
* energy of formation: 0.23 eV per formula unit
* energy: -1.878 eV per atom
* symmetry: I4/mmm (139)
* magnetization: 0.000 μB per atom
* calculated density: 958 kg/m3

a = 4.637 Å, b = 4.637 Å, c = 10.348 Å
α = 77.05°, β = 77.05°, γ = 90.00°
Fractional positions:
Li1 0.500 0.000 0.000
Li2 0.000 0.500 0.000
Li3 0.750 0.250 0.500
Li4 0.250 0.750 0.500
Li5 0.126 0.126 0.748
Li6 0.874 0.874 0.252
Ca1 0.374 0.374 0.252
Ca2 0.626 0.626 0.748



This record from the Alexandria database describes an optimized crystal structure of Li2CaLu. The functional is PBE.

Results
* energy of formation: 0.64 eV per formula unit
* energy: -2.427 eV per atom
* symmetry: Fm-3m (225)
* magnetization: 0.000 μB per atom
* calculated density: 3519 kg/m3

a = 5.346 Å, b = 5.346 Å, c = 5.346 Å
α = 60.00°, β = 60.00°, γ = 60.00°
Fractional positions:
Ca1 0.000 0.000 0.000
Lu1 0.500 0.500 0.500
Li1 0.250 0.250 0.250
Li2 0.750 0.750 0.750



> Among the records above, which one has the lowest energy of formation?

Li3Ca